1.
DFT (GGA-PBE) results for a relaxed structure of NdSmDy2Ho4.

```
NdSmDy2Ho4
1.0
-10.073 5.568 0.339
-1.705 -3.449 6.029
13.535 0.677 -0.031
Ho Dy Sm Nd
8 4 2 2
Cartesian
-2.509 1.182 4.207
-1.657 2.907 1.194
9.295 -1.264 4.023
3.415 -0.111 5.143
-8.391 2.334 5.327
10.148 0.462 1.010
-7.538 4.060 2.314
4.266 1.614 2.130
6.768 0.338 -0.015
1.731 3.123 0.154
-5.889 1.060 3.184
-5.036 2.784 0.169
0.879 1.398 3.169
3.463 6.245 0.308
-0.853 -1.725 3.015
-4.158 4.182 3.338
```

Density of states at the Fermi level in states/eV/f.u.: 11.68
ΔE_f in kcal/mol of atoms: 0.1
E_tot in Ry per atom: -0.3397
Space group: No. 2
Calculated volume in Å³/cell: 509.6

2.
DFT (GGA-PBE) results for a relaxed structure of YNiMo2As.

```
YNiMo2As
1.0
4.604 0.000 0.000
0.000 5.245 0.000
0.000 0.000 4.604
Mo Ni Y As
2 1 1 1
Cartesian
2.302 0.000 0.000
0.000 0.000 2.302
2.302 2.622 2.302
0.000 2.622 0.000
0.000 0.000 0.000
```

Density of states at the Fermi level in states/eV/f.u.: 6.71
ΔE_f in kcal/mol of atoms: 21.6
E_tot in Ry per atom: -0.4981
Space group: No. 123
Calculated volume in Å³/cell: 111.2

3.
DFT (GGA-PBE) results for a relaxed structure of Cu2PPb.

```
Cu2PPb
1.0
-1.900 -3.929 1.534
-2.916 0.088 3.590
-4.508 -0.801 -0.661
Pb Cu P
1 2 1
Cartesian
-4.662 -2.321 2.231
-6.993 -3.482 3.347
-2.331 -1.161 1.116
0.000 0.000 0.000
```

Density of states at the Fermi level in states/eV/f.u.: 1.30
ΔE_f in kcal/mol of atoms: 9.4
E_tot in Ry per atom: -0.2881
Space group: No. 225
Calculated volume in Å³/cell: 70.0

Among the records above, which one has the lowest ΔE_f?
NdSmDy2Ho4